Material: BaTlCl2
Method: DFT, PBEsol
State: relaxed

The crystal system is orthorhombic.

a = 4.3122 Å, b = 4.7008 Å, c = 5.4438 Å
α = 90.00°, β = 90.00°, γ = 90.00°
Last column: nearest neighbours and their distance in Å.
Fractional positions:
Tl 0.5000 0.5000 0.0000  8 Cl 3.19-3.47
Ba 0.5000 0.0000 0.5000  8 Cl 3.19-3.47
Cl 0.0000 0.0000 0.0000  4 Tl 3.19, 4 Ba 3.47
Cl 0.0000 0.5000 0.5000  4 Ba 3.19, 4 Tl 3.47


Material: BaTlCl
Method: DFT, PBEsol
State: relaxed

The crystal system is cubic.

a = 5.4379 Å, b = 5.4379 Å, c = 5.4379 Å
α = 60.00°, β = 60.00°, γ = 60.00°
Last column: nearest neighbours and their distance in Å.
Fractional positions:
Tl 0.5000 0.5000 0.5000  4 Ba 3.33
Ba 0.2500 0.2500 0.2500  4 Tl 3.33, 4 Cl 3.33
Cl 0.0000 0.0000 0.0000  4 Ba 3.33


Material: BaTlCl4
Method: DFT, PBEsol
State: relaxed

The crystal system is cubic.

a = 6.0494 Å, b = 6.0494 Å, c = 6.0494 Å
α = 60.00°, β = 60.00°, γ = 60.00°
Last column: nearest neighbours and their distance in Å.
Fractional positions:
Ba 0.0000 0.0000 0.0000  12 Cl 3.55, 4 Tl 3.70
Cl 0.3750 0.3750 0.3750  6 Cl 3.02-3.03
Cl 0.3750 0.3750 0.8751  6 Cl 3.02-3.03
Cl 0.8751 0.3750 0.3750  6 Cl 3.02-3.03
Cl 0.3750 0.8751 0.3750  6 Cl 3.02-3.03
Tl 0.7500 0.7500 0.7500  12 Cl 3.55, 4 Ba 3.70


Material: Ba2TlCl
Method: DFT, PBEsol
State: relaxed

The calculation puts the excess energy over the best structure of this formula in the dataset at 66 meV per atom. The crystal system is orthorhombic.

a = 4.0193 Å, b = 5.4178 Å, c = 7.0171 Å
α = 90.00°, β = 106.64°, γ = 90.00°
Last column: nearest neighbours and their distance in Å.
Fractional positions:
Tl 0.2627 0.0000 0.5253  7 Ba 3.39-3.70
Ba 0.9940 0.0000 0.9880  4 Cl 3.38, 3 Tl 3.61-3.70
Ba 0.7362 0.5000 0.4724  1 Cl 3.08, 4 Tl 3.39
Cl 0.5071 0.5000 0.0142  5 Ba 3.08-3.38


Material: Ba2TlCl
Method: DFT, PBEsol
State: relaxed

The calculation puts the excess energy over the best structure of this formula in the dataset at 0 meV per atom. The crystal system is monoclinic.

a = 4.0788 Å, b = 4.1946 Å, c = 9.0148 Å
α = 90.07°, β = 90.00°, γ = 90.00°
Last column: nearest neighbours and their distance in Å.
Fractional positions:
Tl 0.5000 0.5000 0.0000  8 Ba 3.60
Ba 0.0000 0.9995 0.7674  2 Cl 3.16
Ba 0.0000 0.0005 0.2326  2 Cl 3.16
Cl 0.5000 0.0000 0.5000  4 Ba 3.16


Material: Ba2TlCl
Method: DFT, PBEsol
State: relaxed

The calculation puts the excess energy over the best structure of this formula in the dataset at 11 meV per atom. The crystal system is tetragonal.

a = 4.0100 Å, b = 6.1371 Å, c = 6.1371 Å
α = 90.00°, β = 90.00°, γ = 90.00°
Last column: nearest neighbours and their distance in Å.
Fractional positions:
Tl 0.5000 0.0000 0.0000  8 Ba 3.67, 2 Tl 4.01
Ba 0.9998 0.5000 0.0000  2 Cl 3.07
Ba 0.0002 0.0000 0.5000  2 Cl 3.07
Cl 0.0000 0.5000 0.5000  4 Ba 3.07


Material: BaWCl2
Method: DFT, PBEsol
State: relaxed

The crystal system is monoclinic.

a = 3.5748 Å, b = 5.7739 Å, c = 5.7739 Å
α = 105.17°, β = 107.41°, γ = 107.41°
Last column: nearest neighbours and their distance in Å.
Fractional positions:
Ba 0.5000 0.0000 0.0000  4 Cl 2.91
W 0.5000 0.5000 0.5000  4 Cl 2.91
Cl 0.0000 0.0000 0.5000  2 W 2.91, 2 Ba 2.91
Cl 0.0000 0.5000 0.0000  2 Ba 2.91, 2 W 2.91


Material: Ba3YCl
Method: DFT, PBEsol
State: relaxed

The calculation puts the excess energy over the best structure of this formula in the dataset at 755 meV per atom. The crystal system is cubic.

a = 6.3501 Å, b = 6.3501 Å, c = 6.3501 Å
α = 90.00°, β = 90.00°, γ = 90.00°
Last column: nearest neighbours and their distance in Å.
Fractional positions:
Y 0.0000 0.0000 0.0000  6 Ba 3.18
Ba 0.0000 0.5000 0.0000  2 Y 3.18
Ba 0.0000 0.0000 0.5000  2 Y 3.18
Ba 0.5000 0.0000 0.0000  2 Y 3.18
Cl 0.5000 0.5000 0.5000  12 Ba 4.49


Material: Ba2YCl7
Method: DFT, PBEsol
State: relaxed

The calculation puts the excess energy over the best structure of this formula in the dataset at 19 meV per atom. The crystal system is monoclinic.

a = 8.6582 Å, b = 10.6403 Å, c = 13.0820 Å
α = 90.00°, β = 93.85°, γ = 90.00°
Last column: nearest neighbours and their distance in Å.
Fractional positions:
Ba 0.7652 0.8068 0.5498  7 Cl 2.99-3.24
Ba 0.8355 0.6960 0.2333  7 Cl 3.01-3.26
Ba 0.6645 0.1960 0.2667  7 Cl 3.01-3.26
Ba 0.2652 0.6932 0.0498  7 Cl 2.99-3.24
Ba 0.7348 0.3068 0.9502  7 Cl 2.99-3.24
Ba 0.3355 0.8040 0.7333  7 Cl 3.01-3.26
Ba 0.1645 0.3040 0.7667  7 Cl 3.01-3.26
Ba 0.2348 0.1932 0.4502  7 Cl 2.99-3.24
Y 0.6700 0.4016 0.6135  6 Cl 2.64-2.74
Y 0.1700 0.0984 0.1135  6 Cl 2.64-2.74
Y 0.8300 0.9016 0.8865  6 Cl 2.64-2.74
Y 0.3300 0.5984 0.3865  6 Cl 2.64-2.74
Cl 0.8679 0.4494 0.7766  1 Y 2.69, 1 Ba 3.01
Cl 0.8985 0.1238 0.8102  1 Y 2.65
Cl 0.9784 0.7845 0.7448  1 Y 2.64
Cl 0.6627 0.5508 0.4425  2 Y 2.74-2.97
Cl 0.3679 0.0506 0.2766  1 Y 2.69, 1 Ba 3.01
Cl 0.7878 0.9419 0.3511  3 Ba 2.99-3.08
Cl 0.5925 0.1980 0.5026  1 Y 2.67
Cl 0.0523 0.6734 0.4463  1 Y 2.70
Cl 0.3985 0.3762 0.3102  1 Y 2.65
Cl 0.4784 0.7155 0.2448  1 Y 2.64
Cl 0.4477 0.1734 0.0537  1 Y 2.70
Cl 0.9075 0.6980 0.9974  1 Y 2.67
Cl 0.7122 0.4419 0.1489  3 Ba 2.99-3.08
Cl 0.1627 0.9492 0.9425  2 Y 2.74-2.97
Cl 0.8373 0.0508 0.0575  2 Y 2.74-2.97
Cl 0.2878 0.5581 0.8511  3 Ba 2.99-3.08
Cl 0.0925 0.3020 0.0026  1 Y 2.67
Cl 0.5523 0.8266 0.9463  1 Y 2.70
Cl 0.5216 0.2845 0.7552  1 Y 2.64
Cl 0.6015 0.6238 0.6898  1 Y 2.65
Cl 0.9477 0.3266 0.5537  1 Y 2.70
Cl 0.4075 0.8020 0.4974  1 Y 2.67
Cl 0.2122 0.0581 0.6489  3 Ba 2.99-3.08
Cl 0.6321 0.9494 0.7234  1 Y 2.69, 1 Ba 3.01
Cl 0.3373 0.4492 0.5575  2 Y 2.74-2.97
Cl 0.0216 0.2155 0.2552  1 Y 2.64
Cl 0.1015 0.8762 0.1898  1 Y 2.65
Cl 0.1321 0.5506 0.2234  1 Y 2.69, 1 Ba 3.01


Material: BaYCl2
Method: DFT, PBEsol
State: relaxed

The calculation puts the excess energy over the best structure of this formula in the dataset at 284 meV per atom. The crystal system is cubic.

a = 5.1296 Å, b = 5.1296 Å, c = 5.1296 Å
α = 60.00°, β = 60.00°, γ = 60.00°
Last column: nearest neighbours and their distance in Å.
Fractional positions:
Y 0.5000 0.5000 0.5000  8 Cl 3.14
Ba 0.0000 0.0000 0.0000  8 Cl 3.14
Cl 0.2500 0.2500 0.2500  4 Ba 3.14, 4 Y 3.14
Cl 0.7500 0.7500 0.7500  4 Ba 3.14, 4 Y 3.14


Material: Ba2YCl7
Method: DFT, PBEsol
State: relaxed

The calculation puts the excess energy over the best structure of this formula in the dataset at 0 meV per atom. The crystal system is monoclinic.

a = 8.0057 Å, b = 9.0693 Å, c = 9.1208 Å
α = 67.40°, β = 63.97°, γ = 63.81°
Last column: nearest neighbours and their distance in Å.
Fractional positions:
Ba 0.3038 0.0967 0.2797  8 Cl 3.04-3.23
Ba 0.3198 0.5967 0.7797  8 Cl 3.04-3.23
Ba 0.6802 0.4033 0.2203  8 Cl 3.04-3.23
Ba 0.6962 0.9033 0.7203  8 Cl 3.04-3.23
Y 0.9686 0.7500 0.2500  7 Cl 2.70-2.85
Y 0.0314 0.2500 0.7500  7 Cl 2.70-2.85
Cl 0.0679 0.4695 0.1507  1 Y 2.70
Cl 0.3119 0.9695 0.6507  1 Y 2.70
Cl 0.0656 0.1093 0.0651  1 Y 2.74
Cl 0.1102 0.8005 0.4489  1 Y 2.77
Cl 0.6123 0.7500 0.2500  1 Y 2.85, 2 Ba 3.04, 2 Cl 3.18
Cl 0.7600 0.6093 0.5651  1 Y 2.74
Cl 0.3596 0.6995 0.0511  1 Y 2.77
Cl 0.6404 0.3005 0.9489  1 Y 2.77
Cl 0.2400 0.3907 0.4349  1 Y 2.74
Cl 0.3877 0.2500 0.7500  1 Y 2.85, 2 Ba 3.04, 2 Cl 3.18
Cl 0.8898 0.1995 0.5511  1 Y 2.77
Cl 0.9344 0.8907 0.9349  1 Y 2.74
Cl 0.6881 0.0305 0.3493  1 Y 2.70
Cl 0.9321 0.5305 0.8493  1 Y 2.70


Material: BaY2Cl8
Method: DFT, PBEsol
State: relaxed

The crystal system is monoclinic.

a = 9.7070 Å, b = 9.7070 Å, c = 10.1630 Å
α = 66.12°, β = 66.12°, γ = 59.18°
Last column: nearest neighbours and their distance in Å.
Fractional positions:
Ba 0.9755 0.0245 0.2500  8 Cl 3.03-3.21
Ba 0.0245 0.9755 0.7500  8 Cl 3.03-3.21
Y 0.4647 0.0339 0.2125  6 Cl 2.53-2.76
Y 0.0339 0.4647 0.7125  6 Cl 2.53-2.76
Y 0.9661 0.5353 0.2875  6 Cl 2.53-2.76
Y 0.5353 0.9661 0.7875  6 Cl 2.53-2.76
Cl 0.6473 0.7359 0.3463  2 Y 2.62-2.64
Cl 0.2073 0.9923 0.4136  1 Y 2.61
Cl 0.8646 0.3882 0.2166  1 Y 2.53
Cl 0.3575 0.9312 0.0696  2 Y 2.67-2.76
Cl 0.7359 0.6473 0.8463  2 Y 2.62-2.64
Cl 0.9923 0.2073 0.9136  1 Y 2.61
Cl 0.3882 0.8646 0.7166  1 Y 2.53
Cl 0.9312 0.3575 0.5696  2 Y 2.67-2.76
Cl 0.0688 0.6425 0.4304  2 Y 2.67-2.76
Cl 0.6118 0.1354 0.2834  1 Y 2.53
Cl 0.0077 0.7927 0.0864  1 Y 2.61
Cl 0.2641 0.3527 0.1537  2 Y 2.62-2.64
Cl 0.6425 0.0688 0.9304  2 Y 2.67-2.76
Cl 0.1354 0.6118 0.7834  1 Y 2.53
Cl 0.7927 0.0077 0.5864  1 Y 2.61
Cl 0.3527 0.2641 0.6537  2 Y 2.62-2.64


Record order is preserved below.
Uncorrected formation energy: -1.46; -0.65; -0.92; -1.05; -1.11; -1.10; 0.16; 0.26; -2.38; -1.17; -2.40; -2.31 eV per atom
Record order is preserved below.
N(E_F): 1.88; 3.93; 4.12; 2.07; 2.09; 2.20; 2.04; 7.60; 0.00; 2.44; 0.00; 0.00 states/eV per cell